1.
Here is an optimized crystal structure of Ag7Pt5 from the Alexandria database. Energies are from PBEsol.

Summary:
Size of the total moment (μB/f.u.): 0.001

Cell lengths 5.6089, 16.8180, 3.9976 Å; angles 90.00, 90.00, 90.00 degrees
Space group Cmmm (No. 65)
One atom of each set of equivalent atoms:
Ag: 0.0000 0.0000 0.0000 (multiplicity 2)
Ag: 0.0000 0.1665 0.0000 (multiplicity 4)
Ag: 0.2468 0.4165 0.5000 (multiplicity 8)
Pt: 0.0000 0.3311 0.0000 (multiplicity 4)
Pt: 0.0000 0.5000 0.0000 (multiplicity 2)
Pt: 0.2500 0.2500 0.5000 (multiplicity 4)

=====

2.
Here is an optimized crystal structure of Ag3Pt from the Alexandria database. Energies are from PBEsol.

Summary:
Size of the total moment (μB/f.u.): 0.000

Cell lengths 2.7975, 4.0535, 5.6501 Å; angles 90.00, 90.00, 90.00 degrees
Space group Pmmm (No. 47)
One atom of each set of equivalent atoms:
Ag: 0.0000 0.0000 0.0000 (multiplicity 1)
Ag: 0.5000 0.5000 0.2533 (multiplicity 2)
Pt: 0.0000 0.0000 0.5000 (multiplicity 1)

=====

no.,E_form (kJ/mol of atoms)
1,3
2,1